28
Lattice="7.761 -3.003 0.000 7.761 3.003 0.000 0.000 0.000 10.376" Properties=species:S:1:pos:R:3 comment="CoNi3Te3, relaxed, DFT PBE-GGA" spacegroup="No. 64" n_ef_per_ev_fu=4.72 formation_energy_uncorrected_ev_per_atom=-0.1039 final_energy_ev_per_atom=-4.943 pbc="T T T"
Co 1.245 0.000 0.000
Co 6.516 0.000 5.188
Co 9.006 0.000 5.188
Co 14.278 0.000 0.000
Ni 2.396 0.806 6.297
Ni 7.761 2.123 6.201
Ni 5.366 0.806 9.267
Ni 2.396 -0.806 4.079
Ni 7.761 0.880 1.013
Ni 5.366 -0.806 1.109
Ni 10.157 0.806 9.267
Ni 7.761 -0.880 9.363
Ni 13.127 0.806 6.297
Ni 10.157 -0.806 1.109
Ni 7.761 -2.123 4.175
Ni 13.127 -0.806 4.079
Te 5.016 1.661 1.369
Te 5.016 1.343 6.557
Te 7.761 1.576 8.755
Te 7.761 1.427 3.567
Te 10.506 1.661 1.369
Te 10.506 1.343 6.557
Te 5.016 -1.343 3.819
Te 5.016 -1.661 9.007
Te 7.761 -1.427 6.808
Te 7.761 -1.576 1.621
Te 10.506 -1.343 3.819
Te 10.506 -1.661 9.007